VASP calculation (PBE) on a relaxed structure of Ru2SeBr.

The energy is -5.057 eV per atom. Its space-group type is Pmmm. As for the magnetization: 0.3 μB/f.u. The value obtained for the formation energy (no corrections) is 0.870 eV per atom.

Cell: 3.005 4.139 5.618 Å, 90.00 90.00 90.00°
Fractional positions:
Ru1 0.000 0.000 0.000
Ru2 0.500 0.000 0.500
Se1 0.000 0.500 0.500
Br1 0.500 0.500 0.000